A relaxed structure of Th, computed with PBE-GGA.

Cell: 3.5765 3.5765 11.6910 Å, 90.00 90.00 120.00°
Space group P6_3/mmc (No. 194)
Unique sites:
1 Th 0.0000 0.0000 0.0000 [2 per cell]
2 Th 0.3333 0.6667 0.2500 [2 per cell]

Summary:
The calculation puts the formation energy at 32 meV/atom.

A relaxed structure of Th, computed with PBE-GGA.

Cell: 7.1347 7.1347 7.1347 Å, 90.00 90.00 90.00°
Space group Fd-3m (No. 227, origin choice 2)
Unique sites:
1 Th 0.1250 0.1250 0.1250 [8 per cell]

Summary:
The calculation puts the formation energy at 1949 meV/atom.

A relaxed structure of Th, computed with PBE-GGA.

Cell: 4.6487 5.0063 11.8800 Å, 90.00 90.00 90.00°
Space group Fmmm (No. 69)
Unique sites:
1 Th 0.0000 0.0000 0.1405 [8 per cell]

Summary:
The calculation puts the formation energy at 365 meV/atom.

A relaxed structure of Th, computed with PBE-GGA.

Cell: 3.5254 6.1506 5.9759 Å, 90.00 90.00 90.00°
Space group Cmcm (No. 63)
Unique sites:
1 Th 0.0000 0.1572 0.2500 [4 per cell]

Summary:
The calculation puts the formation energy at 43 meV/atom.

A relaxed structure of Th5Tl3, computed with PBE-GGA.

Cell: 9.5239 9.5239 6.3835 Å, 90.00 90.00 120.00°
Space group P6_3/mcm (No. 193)
Unique sites:
1 Th 0.0000 0.2408 0.2500 [6 per cell]
2 Th 0.3333 0.6667 0.0000 [4 per cell]
3 Tl 0.0000 0.3926 0.7500 [6 per cell]

Summary:
The value obtained for the calculated total energy is -89.24 eV/cell.

A relaxed structure of Th2Tl, computed with PBE-GGA.

Cell: 7.7788 7.7788 6.1861 Å, 90.00 90.00 90.00°
Space group I4/mcm (No. 140)
Unique sites:
1 Th 0.1516 0.3484 0.0000 [8 per cell]
2 Tl 0.0000 0.0000 0.2500 [4 per cell]

Summary:
The value obtained for the calculated total energy is -69.69 eV/cell.

A relaxed structure of Th2Tl, computed with PBE-GGA.

Cell: 13.6267 13.6267 13.6267 Å, 90.00 90.00 90.00°
Space group Fd-3m (No. 227, origin choice 2)
Unique sites:
1 Th 0.0000 0.0000 0.0000 [16 per cell]
2 Tl 0.1250 0.1250 0.1250 [8 per cell]

Summary:
The value obtained for the calculated total energy is -78.46 eV/cell.

A relaxed structure of Tm2ThTl3, computed with PBE-GGA.

Cell: 6.0137 6.0137 5.3317 Å, 90.00 90.00 120.00°
Space group P6/mmm (No. 191)
Unique sites:
1 Tm 0.3333 0.6667 0.0000 [2 per cell]
2 Th 0.0000 0.0000 0.0000 [1 per cell]
3 Tl 0.0000 0.5000 0.5000 [3 per cell]

Summary:
The value obtained for the calculated total energy is -23.28 eV/cell.